1.
Crystalline Tb2YBi3 at its relaxed geometry. Source: the Open Quantum Materials Database, functional PBE.

Cell: 4.4645 4.4645 11.0101 Å, 90.00 90.00 120.00°
Last column: nearest neighbours and their distance in Å.
Positions (direct):
Tb 0.6667 0.3333 0.1667  6 Bi 3.16
Tb 0.3333 0.6667 0.8333  6 Bi 3.16
Bi 0.3333 0.6667 0.3334  3 Y 3.16, 3 Tb 3.16
Bi 0.6667 0.3333 0.6666  3 Y 3.16, 3 Tb 3.16
Bi 0.0000 0.0000 0.0000  6 Tb 3.16
Y 0.0000 0.0000 0.5000  6 Bi 3.16

- Volume: 31.68 Å³/atom
- Electronic total energy: -5.546 eV per atom

***

2.
Crystalline Lu4AlCoC2 at its relaxed geometry. Source: the Open Quantum Materials Database, functional PBE.

Cell: 3.4542 3.4542 14.4868 Å, 90.00 90.00 120.00°
Last column: nearest neighbours and their distance in Å.
Positions (direct):
Co 0.6667 0.3333 0.5000  6 Lu 2.83
C 0.3333 0.6667 0.7325  6 Lu 2.37-2.42
C 0.3333 0.6667 0.2675  6 Lu 2.37-2.42
Lu 0.0000 0.0000 0.3617  3 C 2.42
Lu 0.6667 0.3333 0.8205  3 C 2.37
Lu 0.0000 0.0000 0.6384  3 C 2.42
Lu 0.6667 0.3333 0.1795  3 C 2.37
Al 0.0000 0.0000 0.0000  6 Lu 3.28, 6 Al 3.45

- Volume: 18.71 Å³/atom
- Electronic total energy: -6.122 eV per atom

***

3.
Crystalline Nd2GdSb3 at its relaxed geometry. Source: the Open Quantum Materials Database, functional PBE.

Cell: 4.4832 4.4832 11.0093 Å, 90.00 90.00 120.00°
Last column: nearest neighbours and their distance in Å.
Positions (direct):
Sb 0.3333 0.6667 0.3387  3 Gd 3.14, 3 Nd 3.19
Sb 0.0000 0.0000 0.0000  6 Nd 3.19
Sb 0.6667 0.3333 0.6613  3 Gd 3.14, 3 Nd 3.19
Gd 0.0000 0.0000 0.5000  6 Sb 3.14
Nd 0.3333 0.6667 0.8307  6 Sb 3.19
Nd 0.6667 0.3333 0.1693  6 Sb 3.19

- Volume: 31.94 Å³/atom
- Electronic total energy: -5.605 eV per atom

***

4.
Crystalline Rb2W2Se5 at its relaxed geometry. Source: the Open Quantum Materials Database, functional PBE.

Cell: 6.6711 6.6711 12.2863 Å, 105.88 105.88 76.91°
Last column: nearest neighbours and their distance in Å.
Positions (direct):
W 0.5530 0.2107 0.0469  4 Se 2.38-2.56
W 0.4470 0.7893 0.9531  4 Se 2.38-2.56
W 0.2107 0.5530 0.5469  4 Se 2.38-2.56
W 0.7893 0.4470 0.4531  4 Se 2.38-2.56
Se 0.2101 0.7899 0.7500  2 W 2.56
Se 0.2161 0.1257 0.0307  2 W 2.38-2.53
Se 0.6023 0.3746 0.8970  2 W 2.51-2.69
Se 0.3977 0.6254 0.1030  2 W 2.51-2.69
Se 0.7839 0.8743 0.9693  2 W 2.38-2.53
Se 0.6254 0.3977 0.6030  2 W 2.51-2.69
Se 0.1257 0.2161 0.5307  2 W 2.38-2.53
Se 0.3746 0.6023 0.3970  2 W 2.51-2.69
Se 0.7899 0.2101 0.2500  2 W 2.56
Se 0.8743 0.7839 0.4693  2 W 2.38-2.53
Rb 0.9469 0.6170 0.1846  7 Se 3.30-3.65
Rb 0.0531 0.3830 0.8154  7 Se 3.30-3.65
Rb 0.6170 0.9469 0.6846  7 Se 3.30-3.65
Rb 0.3830 0.0531 0.3154  7 Se 3.30-3.65

- Volume: 27.72 Å³/atom
- Electronic total energy: -5.582 eV per atom